## w
Entry from Alexandria: a relaxed structure of BaZn3P (PBE).

Cell: 4.997 4.997 4.997 Å, 90.00 90.00 90.00°
Positions (direct):
Ba 0.000 0.000 0.000
Zn 0.000 0.500 0.500
Zn 0.500 0.000 0.500
Zn 0.500 0.500 0.000
P 0.500 0.500 0.500

Output
total magnetic moment	0.00	μB/cell
crystal system	cubic
calculated density	4.85	g cm⁻³

## x
Entry from Alexandria: a relaxed structure of BaZn3P (PBE).

Cell: 6.302 6.302 6.302 Å, 90.00 90.00 90.00°
Positions (direct):
Ba 0.000 0.000 0.000
Zn 0.000 0.000 0.500
Zn 0.000 0.500 0.000
Zn 0.500 0.000 0.000
P 0.500 0.500 0.500

Output
total magnetic moment	1.04	μB/cell
crystal system	cubic
calculated density	2.42	g cm⁻³

Most stable structure - w; separation to the second - 1.160 eV/atom.

## w
Entry from Alexandria: a relaxed structure of BaPaPb2 (PBE).

Cell: 3.670 3.670 9.549 Å, 90.00 90.00 90.00°
Positions (direct):
Ba 0.000 0.000 0.000
Pa 0.000 0.000 0.500
Pb 0.500 0.500 0.272
Pb 0.500 0.500 0.728

Output
total magnetic moment	1.33	μB/cell
crystal system	tetragonal
calculated density	10.10	g cm⁻³

## x
Entry from Alexandria: a relaxed structure of BaPaPb2 (PBE).

Cell: 3.468 3.468 37.923 Å, 90.00 90.00 120.00°
Positions (direct):
Ba 0.000 0.000 0.000
Ba 0.333 0.667 0.667
Ba 0.667 0.333 0.333
Pa 0.000 0.000 0.500
Pa 0.333 0.667 0.167
Pa 0.667 0.333 0.833
Pb 0.000 0.000 0.093
Pb 0.000 0.000 0.907
Pb 0.333 0.667 0.574
Pb 0.333 0.667 0.759
Pb 0.667 0.333 0.241
Pb 0.667 0.333 0.426

Output
total magnetic moment	0.00	μB/cell
crystal system	trigonal
calculated density	9.87	g cm⁻³

Most stable structure - w; separation to the second - 0.348 eV/atom.

## w
Entry from Alexandria: a relaxed structure of BaPaPd2 (PBE).

Cell: 3.654 3.654 7.822 Å, 90.00 90.00 90.00°
Positions (direct):
Ba 0.000 0.000 0.000
Pa 0.000 0.000 0.500
Pd 0.500 0.500 0.317
Pd 0.500 0.500 0.683

Output
total magnetic moment	0.00	μB/cell
crystal system	tetragonal
calculated density	9.24	g cm⁻³

## x
Entry from Alexandria: a relaxed structure of BaPaPd2 (PBE).

Cell: 4.154 4.154 22.818 Å, 90.00 90.00 120.00°
Positions (direct):
Ba 0.000 0.000 0.000
Ba 0.333 0.667 0.667
Ba 0.667 0.333 0.333
Pa 0.000 0.000 0.500
Pa 0.333 0.667 0.167
Pa 0.667 0.333 0.833
Pd 0.000 0.000 0.233
Pd 0.000 0.000 0.767
Pd 0.333 0.667 0.434
Pd 0.333 0.667 0.900
Pd 0.667 0.333 0.100
Pd 0.667 0.333 0.566

Output
total magnetic moment	0.00	μB/cell
crystal system	trigonal
calculated density	8.49	g cm⁻³

Most stable structure - w; separation to the second - 0.084 eV/atom.

## w
Entry from Alexandria: a relaxed structure of BaPaPt2 (PBE).

Cell: 3.636 3.636 7.823 Å, 90.00 90.00 90.00°
Positions (direct):
Ba 0.000 0.000 0.000
Pa 0.000 0.000 0.500
Pt 0.500 0.500 0.316
Pt 0.500 0.500 0.684

Output
total magnetic moment	0.00	μB/cell
crystal system	tetragonal
calculated density	12.18	g cm⁻³

## x
Entry from Alexandria: a relaxed structure of BaPaPt2 (PBE).

Cell: 4.652 4.652 18.459 Å, 90.00 90.00 120.00°
Positions (direct):
Ba 0.000 0.000 0.000
Ba 0.333 0.667 0.667
Ba 0.667 0.333 0.333
Pa 0.000 0.000 0.500
Pa 0.333 0.667 0.167
Pa 0.667 0.333 0.833
Pt 0.000 0.000 0.210
Pt 0.000 0.000 0.790
Pt 0.333 0.667 0.456
Pt 0.333 0.667 0.877
Pt 0.667 0.333 0.123
Pt 0.667 0.333 0.544

Output
total magnetic moment	0.01	μB/cell
crystal system	trigonal
calculated density	10.92	g cm⁻³

Most stable structure - w; separation to the second - 0.080 eV/atom.

## w
Entry from Alexandria: a relaxed structure of BaPaRh2 (PBE).

Cell: 3.952 3.952 23.102 Å, 90.00 90.00 120.00°
Positions (direct):
Ba 0.000 0.000 0.000
Ba 0.333 0.667 0.667
Ba 0.667 0.333 0.333
Pa 0.000 0.000 0.500
Pa 0.333 0.667 0.167
Pa 0.667 0.333 0.833
Rh 0.000 0.000 0.232
Rh 0.000 0.000 0.768
Rh 0.333 0.667 0.435
Rh 0.333 0.667 0.899
Rh 0.667 0.333 0.101
Rh 0.667 0.333 0.565

Output
total magnetic moment	0.00	μB/cell
crystal system	trigonal
calculated density	9.15	g cm⁻³

## x
Entry from Alexandria: a relaxed structure of BaPaRh2 (PBE).

Cell: 3.513 3.513 7.848 Å, 90.00 90.00 90.00°
Positions (direct):
Ba 0.000 0.000 0.000
Pa 0.000 0.000 0.500
Rh 0.500 0.500 0.318
Rh 0.500 0.500 0.682

Output
total magnetic moment	0.00	μB/cell
crystal system	tetragonal
calculated density	9.84	g cm⁻³

Most stable structure - x; separation to the second - 0.067 eV/atom.

## w
Entry from Alexandria: a relaxed structure of Ba2PaS4 (PBE).

Cell: 15.774 4.148 6.988 Å, 90.00 116.21 90.00°
Positions (direct):
Ba 0.152 0.000 0.151
Ba 0.348 0.500 0.849
Ba 0.652 0.500 0.151
Ba 0.848 0.000 0.849
Pa 0.000 0.000 0.500
Pa 0.500 0.500 0.500
S 0.000 0.500 0.237
S 0.000 0.500 0.763
S 0.187 0.000 0.688
S 0.313 0.500 0.312
S 0.500 0.000 0.237
S 0.500 0.000 0.763
S 0.687 0.500 0.688
S 0.813 0.000 0.312

Output
total magnetic moment	1.87	μB/cell
crystal system	monoclinic
calculated density	5.13	g cm⁻³

## x
Entry from Alexandria: a relaxed structure of Ba2PaS4 (PBE).

Cell: 5.270 5.270 15.770 Å, 90.00 90.00 90.00°
Positions (direct):
Ba 0.000 0.000 0.136
Ba 0.000 0.000 0.864
Ba 0.500 0.500 0.364
Ba 0.500 0.500 0.636
Pa 0.000 0.000 0.500
Pa 0.500 0.500 0.000
S 0.000 0.000 0.331
S 0.000 0.000 0.669
S 0.000 0.500 0.000
S 0.000 0.500 0.500
S 0.500 0.000 0.000
S 0.500 0.000 0.500
S 0.500 0.500 0.169
S 0.500 0.500 0.831

Output
total magnetic moment	1.58	μB/cell
crystal system	tetragonal
calculated density	4.81	g cm⁻³

Most stable structure - x; separation to the second - 0.035 eV/atom.

## w
Entry from Alexandria: a relaxed structure of Ba3Pa2S8 (PBE).

Cell: 8.679 8.679 7.874 Å, 109.75 109.75 59.10°
Positions (direct):
Ba 0.000 0.000 0.000
Ba 0.255 0.745 0.500
Ba 0.745 0.255 0.500
Pa 0.254 0.254 0.532
Pa 0.746 0.746 0.468
S 0.086 0.626 0.696
S 0.147 0.147 0.723
S 0.345 0.345 0.327
S 0.374 0.914 0.304
S 0.626 0.086 0.696
S 0.655 0.655 0.673
S 0.853 0.853 0.277
S 0.914 0.374 0.304

Output
total magnetic moment	0.00	μB/cell
crystal system	monoclinic
calculated density	4.00	g cm⁻³

## x
Entry from Alexandria: a relaxed structure of Ba3Pa2S8 (PBE).

Cell: 9.927 9.927 9.927 Å, 44.15 44.15 44.15°
Positions (direct):
Ba 0.000 0.000 0.000
Ba 0.196 0.196 0.196
Ba 0.804 0.804 0.804
Pa 0.402 0.402 0.402
Pa 0.598 0.598 0.598
S 0.204 0.744 0.744
S 0.256 0.256 0.796
S 0.256 0.796 0.256
S 0.309 0.309 0.309
S 0.691 0.691 0.691
S 0.744 0.204 0.744
S 0.744 0.744 0.204
S 0.796 0.256 0.256

Output
total magnetic moment	0.00	μB/cell
crystal system	trigonal
calculated density	4.35	g cm⁻³

Most stable structure - w; separation to the second - 0.151 eV/atom.

## w
Entry from Alexandria: a relaxed structure of BaPaS4 (PBE).

Cell: 9.566 9.791 4.286 Å, 90.00 90.00 90.00°
Positions (direct):
Ba 0.000 0.000 0.000
Ba 0.500 0.500 0.000
Pa 0.000 0.500 0.500
Pa 0.500 0.000 0.500
S 0.000 0.330 0.000
S 0.000 0.670 0.000
S 0.234 0.000 0.500
S 0.266 0.500 0.500
S 0.500 0.170 0.000
S 0.500 0.830 0.000
S 0.734 0.500 0.500
S 0.766 0.000 0.500

Output
total magnetic moment	0.00	μB/cell
crystal system	orthorhombic
calculated density	4.11	g cm⁻³

## x
Entry from Alexandria: a relaxed structure of BaPaS4 (PBE).

Cell: 6.154 6.595 7.872 Å, 90.00 90.00 90.00°
Positions (direct):
Ba 0.000 0.000 0.000
Ba 0.500 0.500 0.000
Pa 0.000 0.000 0.500
Pa 0.500 0.500 0.500
S 0.249 0.250 0.294
S 0.249 0.250 0.706
S 0.251 0.750 0.294
S 0.251 0.750 0.706
S 0.749 0.250 0.294
S 0.749 0.250 0.706
S 0.751 0.750 0.294
S 0.751 0.750 0.706

Output
total magnetic moment	0.00	μB/cell
crystal system	orthorhombic
calculated density	5.16	g cm⁻³

Most stable structure - x; separation to the second - 0.011 eV/atom.

## w
Entry from Alexandria: a relaxed structure of BaPa2Se6 (PBE).

Cell: 7.599 7.599 10.088 Å, 120.73 120.73 42.88°
Positions (direct):
Ba 0.000 0.000 0.000
Pa 0.176 0.176 0.594
Pa 0.824 0.824 0.406
Se 0.030 0.030 0.695
Se 0.291 0.291 0.428
Se 0.343 0.343 0.893
Se 0.657 0.657 0.107
Se 0.709 0.709 0.572
Se 0.970 0.970 0.305

Output
total magnetic moment	0.00	μB/cell
crystal system	monoclinic
calculated density	5.38	g cm⁻³

## x
Entry from Alexandria: a relaxed structure of BaPa2Se6 (PBE).

Cell: 9.671 9.671 7.452 Å, 109.26 109.26 77.14°
Positions (direct):
Ba 0.185 0.815 0.750
Ba 0.815 0.185 0.250
Pa 0.175 0.336 0.064
Pa 0.336 0.175 0.564
Pa 0.664 0.825 0.436
Pa 0.825 0.664 0.936
Se 0.085 0.169 0.667
Se 0.127 0.601 0.978
Se 0.169 0.085 0.167
Se 0.268 0.445 0.474
Se 0.399 0.873 0.522
Se 0.445 0.268 0.974
Se 0.555 0.732 0.026
Se 0.601 0.127 0.478
Se 0.732 0.555 0.526
Se 0.831 0.915 0.833
Se 0.873 0.399 0.022
Se 0.915 0.831 0.333

Output
total magnetic moment	0.00	μB/cell
crystal system	monoclinic
calculated density	5.79	g cm⁻³

Most stable structure - x; separation to the second - 0.076 eV/atom.

## w
Entry from Alexandria: a relaxed structure of Ba2Pa3Se8 (PBE).

Cell: 8.955 4.466 11.450 Å, 90.00 109.70 90.00°
Positions (direct):
Ba 0.246 0.000 0.280
Ba 0.754 0.000 0.720
Pa 0.237 0.500 0.671
Pa 0.500 0.000 0.000
Pa 0.763 0.500 0.329
Se 0.095 0.500 0.397
Se 0.186 0.000 0.832
Se 0.374 0.000 0.592
Se 0.427 0.500 0.138
Se 0.573 0.500 0.862
Se 0.626 0.000 0.408
Se 0.814 0.000 0.168
Se 0.905 0.500 0.603

Output
total magnetic moment	3.02	μB/cell
crystal system	monoclinic
calculated density	6.16	g cm⁻³

## x
Entry from Alexandria: a relaxed structure of Ba2Pa3Se8 (PBE).

Cell: 8.952 8.952 7.259 Å, 106.42 106.42 57.31°
Positions (direct):
Ba 0.231 0.231 0.164
Ba 0.769 0.769 0.836
Pa 0.245 0.755 0.500
Pa 0.500 0.500 0.000
Pa 0.755 0.245 0.500
Se 0.111 0.111 0.458
Se 0.165 0.617 0.102
Se 0.383 0.835 0.898
Se 0.397 0.397 0.594
Se 0.603 0.603 0.406
Se 0.617 0.165 0.102
Se 0.835 0.383 0.898
Se 0.889 0.889 0.542

Output
total magnetic moment	3.01	μB/cell
crystal system	monoclinic
calculated density	5.73	g cm⁻³

Most stable structure - x; separation to the second - 0.058 eV/atom.

## w
Entry from Alexandria: a relaxed structure of BaPaSn2 (PBE).

Cell: 4.859 4.859 21.705 Å, 90.00 90.00 120.00°
Positions (direct):
Ba 0.000 0.000 0.000
Ba 0.333 0.667 0.667
Ba 0.667 0.333 0.333
Pa 0.000 0.000 0.500
Pa 0.333 0.667 0.167
Pa 0.667 0.333 0.833
Sn 0.000 0.000 0.228
Sn 0.000 0.000 0.772
Sn 0.333 0.667 0.438
Sn 0.333 0.667 0.895
Sn 0.667 0.333 0.105
Sn 0.667 0.333 0.562

Output
total magnetic moment	1.88	μB/cell
crystal system	trigonal
calculated density	6.80	g cm⁻³

## x
Entry from Alexandria: a relaxed structure of BaPaSn2 (PBE).

Cell: 5.278 5.278 4.388 Å, 90.00 90.00 90.00°
Positions (direct):
Ba 0.000 0.000 0.000
Pa 0.500 0.500 0.000
Sn 0.000 0.500 0.500
Sn 0.500 0.000 0.500

Output
total magnetic moment	1.13	μB/cell
crystal system	tetragonal
calculated density	8.23	g cm⁻³

Most stable structure - w; separation to the second - 0.077 eV/atom.

## w
Entry from Alexandria: a relaxed structure of Ba2PaTe4 (PBE).

Cell: 8.323 7.919 9.911 Å, 90.00 107.95 90.00°
Positions (direct):
Ba 0.205 0.250 0.057
Ba 0.236 0.250 0.553
Ba 0.764 0.750 0.447
Ba 0.795 0.750 0.943
Pa 0.261 0.750 0.815
Pa 0.739 0.250 0.185
Te 0.003 0.512 0.255
Te 0.003 0.988 0.255
Te 0.449 0.750 0.613
Te 0.464 0.750 0.113
Te 0.536 0.250 0.887
Te 0.551 0.250 0.387
Te 0.997 0.012 0.745
Te 0.997 0.488 0.745

Output
total magnetic moment	2.00	μB/cell
crystal system	monoclinic
calculated density	5.43	g cm⁻³

## x
Entry from Alexandria: a relaxed structure of Ba2PaTe4 (PBE).

Cell: 17.502 4.632 7.688 Å, 90.00 115.91 90.00°
Positions (direct):
Ba 0.149 0.000 0.147
Ba 0.351 0.500 0.853
Ba 0.649 0.500 0.147
Ba 0.851 0.000 0.853
Pa 0.000 0.000 0.500
Pa 0.500 0.500 0.500
Te 0.001 0.500 0.233
Te 0.191 0.000 0.692
Te 0.309 0.500 0.308
Te 0.499 0.000 0.767
Te 0.501 0.000 0.233
Te 0.691 0.500 0.692
Te 0.809 0.000 0.308
Te 0.999 0.500 0.767

Output
total magnetic moment	1.92	μB/cell
crystal system	monoclinic
calculated density	6.02	g cm⁻³

Most stable structure - x; separation to the second - 0.130 eV/atom.